LiNi2BO4 | the Alexandria database | PBE+U | relaxed; electronic total energy = -44.516 eV/f.u.; calculated volume = 159.2 Å³ per cell
1.0
3.984 -4.505 0.000
3.984 4.505 0.000
-3.969 0.000 4.434
Li Ni B O
2 4 2 8
Cartesian
1.992 2.252 0.000
0.007 -2.252 2.217
0.000 0.000 0.000
-1.985 0.000 2.217
0.007 2.252 2.217
1.992 -2.252 0.000
3.984 0.000 0.000
1.999 0.000 2.217
0.021 2.617 4.315
1.993 2.617 2.336
0.740 0.008 1.988
-1.245 -0.008 4.205
5.243 0.008 0.229
3.259 -0.008 2.446
2.006 -2.617 2.098
3.977 -2.617 0.119